# 1
Ta2P3W4N3: optimized geometry, PBE-GGA.

Density, g cm⁻³: 13.55
Energy, eV per atom: -9.944

a b c (Å): 5.302 5.302 12.721
angles (deg): 102.27 102.27 60.64
Atoms (fractional coordinates):
1 Ta 0.633 0.463 0.381
2 W 0.699 0.882 0.599
3 P 0.421 0.221 0.753
4 W 0.882 0.699 0.099
5 N 0.000 0.500 0.500
6 N 0.500 0.000 0.000
7 W 0.301 0.118 0.401
8 Ta 0.463 0.633 0.881
9 P 0.579 0.779 0.247
10 P 0.221 0.421 0.253
11 W 0.815 0.944 0.899
12 Ta 0.367 0.537 0.619
13 W 0.944 0.815 0.399
14 W 0.185 0.056 0.101
15 N 0.795 0.348 0.000
16 N 0.205 0.652 0.000
17 N 0.348 0.795 0.500
18 W 0.056 0.185 0.601
19 P 0.941 0.059 0.250
20 N 0.652 0.205 0.500
21 W 0.118 0.301 0.901
22 P 0.779 0.579 0.747
23 Ta 0.537 0.367 0.119
24 P 0.059 0.941 0.750

# 2
Hf3Sc: optimized geometry, PBE-GGA.

Density, g cm⁻³: 10.76
Energy, eV per atom: -9.054

a b c (Å): 5.028 6.409 5.557
angles (deg): 90.00 90.00 90.00
Atoms (fractional coordinates):
1 Hf 0.500 0.500 0.830
2 Sc 0.000 0.500 0.163
3 Hf 0.000 0.749 0.666
4 Hf 0.000 0.000 0.170
5 Sc 0.500 0.000 0.837
6 Hf 0.500 0.751 0.334
7 Hf 0.000 0.251 0.666
8 Hf 0.500 0.249 0.334

# 3
KFe2Se2: optimized geometry, PBE-GGA.

Density, g cm⁻³: 4.93
Energy, eV per atom: -5.439

a b c (Å): 3.777 3.777 7.763
angles (deg): 104.08 104.08 90.00
Atoms (fractional coordinates):
1 Fe 0.250 0.750 0.500
2 Fe 0.750 0.250 0.500
3 K 0.000 0.000 0.000
4 Se 0.639 0.639 0.278
5 Se 0.361 0.361 0.722

# 4
Sm2YIn: optimized geometry, PBE-GGA.

Density, g cm⁻³: 7.11
Energy, eV per atom: -4.936

a b c (Å): 4.879 4.879 4.948
angles (deg): 90.00 90.00 90.00
Atoms (fractional coordinates):
1 In 0.000 0.000 0.000
2 Sm 0.000 0.500 0.500
3 Sm 0.500 0.000 0.500
4 Y 0.500 0.500 0.000

# 5
HfZnSiNi: optimized geometry, PBE-GGA.

Density, g cm⁻³: 9.47
Energy, eV per atom: -5.746

a b c (Å): 4.345 4.345 4.345
angles (deg): 60.00 60.00 60.00
Atoms (fractional coordinates):
1 Ni 0.750 0.750 0.750
2 Si 0.000 0.000 0.000
3 Hf 0.250 0.250 0.250
4 Zn 0.500 0.500 0.500

# 6
Y4CuSbC2: optimized geometry, PBE-GGA.

Density, g cm⁻³: 5.59
Energy, eV per atom: -6.933

a b c (Å): 3.660 3.660 14.455
angles (deg): 90.00 90.00 120.00
Atoms (fractional coordinates):
1 Y 0.000 0.000 0.329
2 Y 0.667 0.333 0.856
3 C 0.333 0.667 0.763
4 Y 0.667 0.333 0.144
5 Y 0.000 0.000 0.671
6 Sb 0.667 0.333 0.500
7 Cu 0.000 0.000 0.000
8 C 0.333 0.667 0.237

# 7
SmS2: optimized geometry, PBE-GGA.

Density, g cm⁻³: 5.58
Energy, eV per atom: -6.065

a b c (Å): 8.047 3.987 7.966
angles (deg): 90.00 90.15 90.00
Atoms (fractional coordinates):
1 S 0.503 0.841 0.109
2 S 0.868 0.739 0.874
3 Sm 0.775 0.288 0.129
4 Sm 0.775 0.212 0.629
5 S 0.497 0.159 0.891
6 Sm 0.225 0.712 0.871
7 S 0.497 0.341 0.391
8 S 0.868 0.761 0.374
9 Sm 0.225 0.788 0.371
10 S 0.503 0.659 0.609
11 S 0.132 0.239 0.626
12 S 0.132 0.261 0.126

# 8
NbHgW: optimized geometry, PBE-GGA.

Density, g cm⁻³: 12.09
Energy, eV per atom: -6.505

a b c (Å): 4.526 4.526 4.526
angles (deg): 60.00 60.00 60.00
Atoms (fractional coordinates):
1 Hg 0.250 0.250 0.250
2 W 0.750 0.750 0.750
3 Nb 0.000 0.000 0.000

# 9
BaFeBi: optimized geometry, PBE-GGA.

Density, g cm⁻³: 7.16
Energy, eV per atom: -4.653

a b c (Å): 5.091 5.091 5.091
angles (deg): 60.00 60.00 60.00
Atoms (fractional coordinates):
1 Ba 0.250 0.250 0.250
2 Bi 0.750 0.750 0.750
3 Fe 0.000 0.000 0.000

# 10
Tb2Sn5Ir3: optimized geometry, PBE-GGA.

Density, g cm⁻³: 11.08
Energy, eV per atom: -6.095

a b c (Å): 9.001 9.001 9.001
angles (deg): 102.84 91.39 138.90
Atoms (fractional coordinates):
1 Sn 0.250 0.750 0.500
2 Sn 0.471 0.250 0.221
3 Sn 0.750 0.250 0.500
4 Ir 0.250 0.250 0.000
5 Sn 0.918 0.170 0.088
6 Sn 0.082 0.830 0.912
7 Ir 0.144 0.614 0.759
8 Tb 0.849 0.720 0.570
9 Ir 0.644 0.886 0.530
10 Ir 0.750 0.750 0.000
11 Tb 0.349 0.780 0.129
12 Sn 0.582 0.670 0.251
13 Sn 0.029 0.250 0.779
14 Tb 0.151 0.280 0.430
15 Sn 0.418 0.330 0.749
16 Ir 0.356 0.114 0.470
17 Tb 0.651 0.220 0.871
18 Sn 0.971 0.750 0.221
19 Ir 0.856 0.386 0.241
20 Sn 0.529 0.750 0.779

# 11
Al2TcAs: optimized geometry, PBE-GGA.

Density, g cm⁻³: 6.12
Energy, eV per atom: -5.503

a b c (Å): 4.432 4.432 4.432
angles (deg): 60.00 60.00 60.00
Atoms (fractional coordinates):
1 Al 0.250 0.250 0.250
2 Tc 0.500 0.500 0.500
3 As 0.750 0.750 0.750
4 Al 0.000 0.000 0.000

The highest energy belongs to which entry? BaFeBi